Mg3In3RhAu2: relaxed, PBE-GGA.

The structure in POSCAR format:
```
Mg3In3RhAu2
1.0
7.776 0.000 0.000
-3.888 6.734 0.000
0.000 0.000 3.407
Mg In Rh Au
3 3 1 2
Direct
0.000 0.618 0.000
0.382 0.382 0.000
0.618 0.000 0.000
0.000 0.274 0.500
0.274 0.000 0.500
0.726 0.726 0.500
0.000 0.000 0.000
0.333 0.667 0.500
0.667 0.333 0.500
```

Values from the calculation:
DFT formation energy: -426.8 meV/atom
Symmetry: P-62m, No. 189

Mg5In2RhAu2: relaxed, PBE-GGA.

The structure in POSCAR format:
```
Mg5In2RhAu2
1.0
11.217 0.000 0.000
0.000 11.217 0.000
0.000 0.000 3.248
Mg In Rh Au
10 4 2 4
Direct
0.000 0.500 0.000
0.046 0.186 0.000
0.186 0.954 0.000
0.314 0.454 0.000
0.454 0.686 0.000
0.500 0.000 0.000
0.546 0.314 0.000
0.686 0.546 0.000
0.814 0.046 0.000
0.954 0.814 0.000
0.177 0.677 0.500
0.323 0.177 0.500
0.677 0.823 0.500
0.823 0.323 0.500
0.000 0.000 0.500
0.500 0.500 0.500
0.138 0.362 0.500
0.362 0.862 0.500
0.638 0.138 0.500
0.862 0.638 0.500
```

Values from the calculation:
DFT formation energy: -384.5 meV/atom
Symmetry: P4/mbm, No. 127

Mg2InAuS4: relaxed, PBE-GGA.

The structure in POSCAR format:
```
Mg2InAuS4
1.0
0.000 4.105 5.670
4.103 0.000 5.670
4.103 4.105 0.000
Mg In Au S
2 1 1 4
Direct
0.000 0.000 0.500
0.500 0.500 0.000
0.250 0.250 0.750
0.751 0.751 0.249
0.134 0.625 0.375
0.367 0.874 0.633
0.625 0.134 0.866
0.874 0.367 0.126
```

Values from the calculation:
ΔE_f (raw): -847 meV/atom
Symmetry: Fmm2, No. 42

MgInSbAu2: relaxed, PBE-GGA.

The structure in POSCAR format:
```
MgInSbAu2
1.0
5.265 0.000 0.000
0.000 5.265 0.000
0.000 0.000 5.770
Mg In Sb Au
1 1 1 2
Direct
0.000 0.000 0.000
0.500 0.500 0.000
0.500 0.500 0.500
0.000 0.500 0.500
0.500 0.000 0.500
```

Values from the calculation:
ΔE_f (raw): 348 meV/atom
Symmetry: P4/mmm, No. 123

Mg2InAuSe4: relaxed, PBE-GGA.

The structure in POSCAR format:
```
Mg2InAuSe4
1.0
0.000 4.317 5.948
4.315 0.000 5.948
4.315 4.317 0.000
Mg In Au Se
2 1 1 4
Direct
0.000 0.000 0.500
0.500 0.500 0.000
0.250 0.250 0.750
0.749 0.749 0.251
0.130 0.627 0.373
0.370 0.873 0.630
0.627 0.130 0.870
0.873 0.370 0.127
```

Values from the calculation:
ΔE_f (raw): -769 meV/atom
Symmetry: Fmm2, No. 42

SmMg2InAu4: relaxed, PBE-GGA.

The structure in POSCAR format:
```
SmMg2InAu4
1.0
2.343 1.353 8.838
-2.343 1.353 8.838
0.000 -2.705 8.838
Sm Mg In Au
1 2 1 4
Direct
0.000 0.000 0.000
0.243 0.243 0.243
0.757 0.757 0.757
0.500 0.500 0.500
0.120 0.120 0.120
0.389 0.389 0.389
0.611 0.611 0.611
0.880 0.880 0.880
```

Values from the calculation:
DFT formation energy: -568.5 meV/atom
Symmetry: R-3m, No. 166

Mg2InSnAu4: relaxed, PBE-GGA.

The structure in POSCAR format:
```
Mg2InSnAu4
1.0
2.407 1.390 7.814
-2.407 1.390 7.814
0.000 -2.779 7.814
Mg In Sn Au
2 1 1 4
Direct
0.250 0.250 0.250
0.750 0.750 0.750
0.500 0.500 0.500
0.000 0.000 0.000
0.127 0.127 0.127
0.377 0.377 0.377
0.623 0.623 0.623
0.873 0.873 0.873
```

Values from the calculation:
DFT formation energy: -355.2 meV/atom
Symmetry: R-3m, No. 166

Sr2MgIn3Au4: relaxed, PBE-GGA.

The structure in POSCAR format:
```
Sr2MgIn3Au4
1.0
4.674 0.000 0.000
0.000 4.674 0.000
0.000 0.000 11.645
Sr Mg In Au
2 1 3 4
Direct
0.000 0.500 0.241
0.500 0.000 0.759
0.000 0.000 0.500
0.000 0.500 0.869
0.500 0.000 0.131
0.500 0.500 0.500
0.000 0.000 0.000
0.000 0.500 0.634
0.500 0.000 0.366
0.500 0.500 0.000
```

Values from the calculation:
DFT formation energy: -550.6 meV/atom
Symmetry: P-4m2, No. 115

Sr2MgInAu6: relaxed, PBE-GGA.

The structure in POSCAR format:
```
Sr2MgInAu6
1.0
5.512 0.000 0.000
2.738 6.794 0.000
2.750 0.089 6.789
Sr Mg In Au
2 1 1 6
Direct
0.250 0.203 0.295
0.750 0.797 0.705
0.500 0.500 0.500
0.000 0.000 0.000
0.247 0.746 0.261
0.253 0.254 0.740
0.255 0.598 0.893
0.745 0.402 0.107
0.747 0.746 0.260
0.753 0.254 0.739
```

Values from the calculation:
DFT formation energy: -494.6 meV/atom
Symmetry: P-1, No. 2

SrMgInAu3: relaxed, PBE-GGA.

The structure in POSCAR format:
```
SrMgInAu3
1.0
3.348 -6.631 0.000
3.348 6.631 0.000
0.000 0.000 6.713
Sr Mg In Au
2 2 2 6
Direct
0.187 0.813 0.750
0.813 0.187 0.250
0.444 0.556 0.750
0.556 0.444 0.250
0.140 0.860 0.250
0.860 0.140 0.750
0.213 0.213 0.000
0.213 0.213 0.500
0.347 0.653 0.250
0.653 0.347 0.750
0.787 0.787 0.000
0.787 0.787 0.500
```

Values from the calculation:
DFT formation energy: -390.2 meV/atom
Symmetry: Cmcm, No. 63

Sr2Mg4InAu3: relaxed, PBE-GGA.

The structure in POSCAR format:
```
Sr2Mg4InAu3
1.0
4.653 0.000 0.000
0.000 4.653 0.000
0.000 0.000 11.642
Sr Mg In Au
2 4 1 3
Direct
0.000 0.500 0.250
0.500 0.000 0.750
0.000 0.000 0.000
0.000 0.500 0.639
0.500 0.000 0.361
0.500 0.500 0.000
0.000 0.000 0.500
0.000 0.500 0.870
0.500 0.000 0.130
0.500 0.500 0.500
```

Values from the calculation:
DFT formation energy: -501.1 meV/atom
Symmetry: P-4m2, No. 115

SrMg2In2Au2: relaxed, PBE-GGA.

The structure in POSCAR format:
```
SrMg2In2Au2
1.0
2.340 1.351 9.090
-2.340 1.351 9.090
0.000 -2.702 9.090
Sr Mg In Au
1 2 2 2
Direct
0.000 0.000 0.000
0.139 0.139 0.139
0.861 0.861 0.861
0.256 0.256 0.256
0.744 0.744 0.744
0.445 0.445 0.445
0.555 0.555 0.555
```

Values from the calculation:
DFT formation energy: -426.5 meV/atom
Symmetry: R-3m, No. 166

ThMg2InAu4: relaxed, PBE-GGA.

The structure in POSCAR format:
```
ThMg2InAu4
1.0
2.313 1.335 9.221
-2.313 1.335 9.221
0.000 -2.671 9.221
Th Mg In Au
1 2 1 4
Direct
0.000 0.000 0.000
0.239 0.239 0.239
0.761 0.761 0.761
0.500 0.500 0.500
0.120 0.120 0.120
0.390 0.390 0.390
0.610 0.610 0.610
0.880 0.880 0.880
```

Values from the calculation:
DFT formation energy: -543.4 meV/atom
Symmetry: R-3m, No. 166

MgTiInAu: relaxed, PBE-GGA.

The structure in POSCAR format:
```
MgTiInAu
1.0
3.170 0.000 0.000
0.000 3.170 0.000
0.000 0.000 7.681
Mg Ti In Au
1 1 1 1
Direct
0.000 0.000 0.000
0.000 0.000 0.445
0.500 0.500 0.703
0.500 0.500 0.224
```

Values from the calculation:
DFT formation energy: -303.4 meV/atom
Symmetry: P4mm, No. 99

Mg2TlInAu: relaxed, PBE-GGA.

The structure in POSCAR format:
```
Mg2TlInAu
1.0
5.286 0.000 0.000
0.000 5.286 0.000
0.000 0.000 5.749
Mg Tl In Au
2 1 1 1
Direct
0.000 0.500 0.000
0.500 0.000 0.000
0.000 0.000 0.000
0.000 0.000 0.500
0.500 0.500 0.500
```

Values from the calculation:
DFT formation energy: 426.1 meV/atom
Symmetry: P4/mmm, No. 123

TmMgInAu: relaxed, PBE-GGA.

The structure in POSCAR format:
```
TmMgInAu
1.0
0.000 3.523 3.523
3.523 0.000 3.523
3.523 3.523 0.000
Tm Mg In Au
1 1 1 1
Direct
0.000 0.000 0.000
0.500 0.500 0.500
0.250 0.250 0.250
0.750 0.750 0.750
```

Values from the calculation:
DFT formation energy: -539.9 meV/atom
Symmetry: F-43m, No. 216

MgInWAu2: relaxed, PBE-GGA.

The structure in POSCAR format:
```
MgInWAu2
1.0
5.090 0.000 0.000
0.000 5.090 0.000
0.000 0.000 5.219
Mg In W Au
1 1 1 2
Direct
0.000 0.000 0.000
0.500 0.500 0.500
0.500 0.500 0.000
0.000 0.500 0.500
0.500 0.000 0.500
```

Values from the calculation:
DFT formation energy: 1320.0 meV/atom
Symmetry: P4/mmm, No. 123

YMgInAu: relaxed, PBE-GGA.

The structure in POSCAR format:
```
YMgInAu
1.0
0.000 3.553 3.553
3.553 0.000 3.553
3.553 3.553 0.000
Y Mg In Au
1 1 1 1
Direct
0.000 0.000 0.000
0.500 0.500 0.500
0.250 0.250 0.250
0.750 0.750 0.750
```

Values from the calculation:
DFT formation energy: -558.6 meV/atom
Symmetry: F-43m, No. 216

MgZn2In2Au5: relaxed, PBE-GGA.

The structure in POSCAR format:
```
MgZn2In2Au5
1.0
10.056 0.000 0.000
0.000 10.056 0.000
0.000 0.000 3.833
Mg Zn In Au
2 4 4 10
Direct
0.000 0.000 0.000
0.500 0.500 0.000
0.136 0.364 0.000
0.364 0.864 0.000
0.636 0.136 0.000
0.864 0.636 0.000
0.175 0.675 0.000
0.325 0.175 0.000
0.675 0.825 0.000
0.825 0.325 0.000
0.000 0.500 0.500
0.016 0.206 0.500
0.206 0.984 0.500
0.294 0.484 0.500
0.484 0.706 0.500
0.500 0.000 0.500
0.516 0.294 0.500
0.706 0.516 0.500
0.794 0.016 0.500
0.984 0.794 0.500
```

Values from the calculation:
DFT formation energy: -210.7 meV/atom
Symmetry: P4/mbm, No. 127

Mn2InAu8: relaxed, PBE-GGA.

The structure in POSCAR format:
```
Mn2InAu8
1.0
9.574 -1.520 0.000
9.574 1.520 0.000
-2.618 0.000 7.038
Mn In Au
2 1 8
Direct
0.193 0.193 0.190
0.807 0.807 0.810
0.500 0.500 0.500
0.054 0.054 0.245
0.190 0.190 0.823
0.320 0.320 0.513
0.418 0.418 0.065
0.582 0.582 0.935
0.680 0.680 0.487
0.810 0.810 0.177
0.946 0.946 0.755
```

Values from the calculation:
DFT formation energy: -15.6 meV/atom
Energy relative to the lowest polymorph listed for this composition: 65 meV/atom
Symmetry: C2/m, No. 12

MnIn4Au: relaxed, PBE-GGA.

The structure in POSCAR format:
```
MnIn4Au
1.0
0.000 4.220 4.220
4.220 0.000 4.220
4.220 4.220 0.000
Mn In Au
1 4 1
Direct
0.000 0.000 0.000
0.375 0.375 0.375
0.375 0.375 0.875
0.375 0.875 0.375
0.875 0.375 0.375
0.750 0.750 0.750
```

Values from the calculation:
DFT formation energy: 475.6 meV/atom
Symmetry: F-43m, No. 216

Mn4InAu: relaxed, PBE-GGA.

The structure in POSCAR format:
```
Mn4InAu
1.0
0.000 3.501 3.501
3.501 0.000 3.501
3.501 3.501 0.000
Mn In Au
4 1 1
Direct
0.125 0.125 0.125
0.125 0.125 0.624
0.125 0.624 0.125
0.624 0.125 0.125
0.500 0.500 0.500
0.750 0.750 0.750
```

Values from the calculation:
DFT formation energy: 315.5 meV/atom
Symmetry: F-43m, No. 216

MnIn3Au: relaxed, PBE-GGA.

The structure in POSCAR format:
```
MnIn3Au
1.0
5.324 0.000 0.000
0.000 5.324 0.000
0.000 0.000 5.324
Mn In Au
1 3 1
Direct
0.000 0.000 0.000
0.000 0.500 0.500
0.500 0.000 0.500
0.500 0.500 0.000
0.500 0.500 0.500
```

Values from the calculation:
DFT formation energy: 531.5 meV/atom
Energy relative to the lowest polymorph listed for this composition: 145 meV/atom
Symmetry: Pm-3m, No. 221

MnIn2Au8: relaxed, PBE-GGA.

The structure in POSCAR format:
```
MnIn2Au8
1.0
7.326 -3.470 0.000
7.326 3.470 0.000
-1.269 0.000 4.146
Mn In Au
1 2 8
Direct
0.000 0.000 0.000
0.294 0.294 0.296
0.706 0.706 0.704
0.153 0.580 0.867
0.155 0.155 0.656
0.284 0.716 0.500
0.420 0.847 0.133
0.580 0.153 0.867
0.716 0.284 0.500
0.845 0.845 0.344
0.847 0.420 0.133
```

Values from the calculation:
DFT formation energy: -76.6 meV/atom
Energy relative to the lowest polymorph listed for this composition: 0 meV/atom
Symmetry: C2/m, No. 12